(1)
The following is a PBE-GGA calculation of Nd3TeAsN after structural relaxation, from Alexandria.

Properties
The uncorrected formation energy is -1.370 eV/atom. Its space group is No. 11.

a b c (Å): 4.2260 9.0256 9.5071
angles (deg): 100.39 90.00 90.00
Sites, in units of the cell vectors:
Nd: 0.2500 0.8396 0.4856
As: 0.7500 0.3493 0.8380
Te: 0.2500 0.1731 0.2132
N: 0.7500 0.9119 0.4020
As: 0.2500 0.6507 0.1620
Nd: 0.7500 0.4206 0.1498
Nd: 0.7500 0.1604 0.5144
Nd: 0.7500 0.8822 0.1624
Nd: 0.2500 0.5794 0.8502
N: 0.2500 0.0881 0.5980
Te: 0.7500 0.8269 0.7868
Nd: 0.2500 0.1178 0.8376

(2)
The following is a PBE-GGA calculation of YAl2Co after structural relaxation, from Alexandria.

Properties
Its space group is No. 8. Its total energy is -5.67 eV/atom.

a b c (Å): 4.2042 4.2042 5.5241
angles (deg): 67.53 67.53 60.03
Sites, in units of the cell vectors:
Al: 0.7796 0.7796 0.6616
Y: 0.2458 0.2458 0.2627
Al: 0.0434 0.0434 0.8695
Co: 0.4312 0.4312 0.7062

(3)
The following is a PBE-GGA calculation of Pm4Mg after structural relaxation, from Alexandria.

Properties
For the relative energy among the computed polymorphs, the calculation gives 0 meV per atom. Its space group is No. 139.

a b c (Å): 3.6793 3.6793 12.2303
angles (deg): 98.65 98.65 90.00
Sites, in units of the cell vectors:
Mg: 0.0000 0.0000 0.0000
Pm: 0.5909 0.5909 0.1817
Pm: 0.1958 0.1958 0.3916
Pm: 0.8042 0.8042 0.6084
Pm: 0.4091 0.4091 0.8183

(4)
The following is a PBE-GGA calculation of RbPdBr after structural relaxation, from Alexandria.

Properties
For the relative energy among the computed polymorphs, the calculation gives 0 meV per atom. The uncorrected formation energy is -0.721 eV/atom. Its space group is No. 63.

a b c (Å): 7.9385 7.9385 5.6188
angles (deg): 90.00 90.00 142.87
Sites, in units of the cell vectors:
Pd: 0.0000 0.0000 0.5000
Rb: 0.3738 0.6262 0.2500
Br: 0.8619 0.1381 0.7500
Pd: 0.0000 0.0000 0.0000
Br: 0.1381 0.8619 0.2500
Rb: 0.6262 0.3738 0.7500

(5)
The following is a PBE-GGA calculation of GaHg2Ru after structural relaxation, from Alexandria.

Properties
Its space group is No. 122. Its total energy is -2.74 eV/atom.

a b c (Å): 3.9329 3.9329 10.7646
angles (deg): 79.47 79.47 90.00
Sites, in units of the cell vectors:
Hg: 0.1191 0.6250 0.2500
Ga: 0.2500 0.7500 0.5000
Hg: 0.6309 0.1250 0.2500
Ru: 0.0000 0.0000 0.0000
Ru: 0.7500 0.2500 0.5000
Ga: 0.5000 0.5000 0.0000
Hg: 0.8750 0.8809 0.7500
Hg: 0.3750 0.3691 0.7500

(6)
The following is a PBE-GGA calculation of MnOsRu2 after structural relaxation, from Alexandria.

Properties
For the relative energy among the computed polymorphs, the calculation gives 338 meV per atom. Its space group is No. 216.

a b c (Å): 4.3154 4.3154 4.3154
angles (deg): 60.00 60.00 60.00
Sites, in units of the cell vectors:
Mn: 0.5000 0.5000 0.5000
Ru: 0.2500 0.2500 0.2500
Ru: 0.0000 0.0000 0.0000
Os: 0.7500 0.7500 0.7500

(7)
The following is a PBE-GGA calculation of TaAlVW2 after structural relaxation, from Alexandria.

Properties
Its space group is No. 123. Its total energy is -8.20 eV/atom.

a b c (Å): 4.7976 4.5397 4.7976
angles (deg): 90.00 90.00 90.00
Sites, in units of the cell vectors:
W: 0.0000 0.0000 0.5000
Al: 0.5000 0.5000 0.5000
W: 0.5000 0.0000 0.0000
Ta: 0.0000 0.0000 0.0000
V: 0.0000 0.5000 0.0000

(8)
The following is a PBE-GGA calculation of Li3Ca2In2 after structural relaxation, from Alexandria.

Properties
Its space group is No. 199. Its total energy is -2.24 eV/atom.

a b c (Å): 7.9236 7.9235 7.9235
angles (deg): 109.47 109.47 109.47
Sites, in units of the cell vectors:
Li: 0.7196 0.2500 0.4696
Ca: 0.4687 0.9687 0.9687
Ca: 0.0313 0.5000 0.0000
In: 0.5000 0.9174 0.5000
In: 0.0000 0.0000 0.9174
Li: 0.7804 0.7500 0.0304
Li: 0.2500 0.0304 0.2804
Li: 0.7500 0.4696 0.2196
Li: 0.9696 0.2196 0.2500
In: 0.4174 0.5000 0.0000
Ca: 0.5000 0.5313 0.5000
In: 0.0826 0.5826 0.5826
Li: 0.5304 0.2804 0.7500
Ca: 0.0000 0.0000 0.5313

Number 1: total magnetization 0.000 μB/cell. Number 2: total magnetization 0.000 μB/cell. Number 3: total magnetization 0.000 μB/cell. Number 4: total magnetization 0.000 μB/cell. Number 5: total magnetization 1.924 μB/cell. Number 6: total magnetization 5.248 μB/cell. Number 7: total magnetization 0.000 μB/cell. Number 8: total magnetization 0.000 μB/cell.